Material: KMn3Be
Method: DFT, PBE-GGA
State: optimized geometry

a b c (Å): 4.714 4.714 4.714
angles (deg): 90.00 90.00 90.00
Site moments in Bohr magnetons follow the coordinates.
Fractional positions:
Be (0.500, 0.500, 0.500)  -0.08
K (0.000, 0.000, 0.000)  0.04
Mn (0.000, 0.500, 0.000)  3.73
Mn (0.000, 0.000, 0.500)  3.44
Mn (0.500, 0.000, 0.000)  3.93

Properties
The formation enthalpy at 0 K is 2.50 eV per atom. Its space group is Pm-3m (221). The calculation puts the offset from the most stable computed form at 35.20 kcal/mol of atoms. Its density of states at the Fermi level is 0.71 states/eV per atom.



Material: KMn2Be
Method: DFT, PBE-GGA
State: optimized geometry

a b c (Å): 5.292 5.706 2.753
angles (deg): 77.07 87.84 117.04
Site moments in Bohr magnetons follow the coordinates.
Fractional positions:
Be (0.000, 0.500, 0.500)  -0.13
K (0.500, 0.500, 0.000)  -0.03
Mn (0.000, 0.000, 0.000)  3.54
Mn (0.500, 0.000, 0.500)  3.54

Properties
The formation enthalpy at 0 K is 1.24 eV per atom. Its space group is C2/m (12). Its density of states at the Fermi level is 0.82 states/eV per atom.



Per-record uncorrected energy, eV per atom: -3.970, -4.546
Per-record total magnetization, μB/f.u.: 11.26, 7.04